Entry 1:
# LaVO3

An optimized crystal structure of LaVO3 (PBEsol, Alexandria via LeMat-Bulk).

Properties
raw formation energy	-2972	meV/atom
calculated total energy	-182.4	eV for the cell shown

Lattice parameters (Å, degrees): 5.501 7.773 5.489 90.00 90.00 90.00
Element x y z (fractional)
La 0.032 0.250 0.006
La 0.468 0.750 0.506
La 0.532 0.250 0.494
La 0.968 0.750 0.994
V 0.000 0.000 0.500
V 0.000 0.500 0.500
V 0.500 0.000 0.000
V 0.500 0.500 0.000
O 0.013 0.750 0.427
O 0.217 0.539 0.783
O 0.217 0.961 0.783
O 0.283 0.039 0.283
O 0.283 0.461 0.283
O 0.487 0.250 0.927
O 0.513 0.750 0.073
O 0.717 0.539 0.717
O 0.717 0.961 0.717
O 0.783 0.039 0.217
O 0.783 0.461 0.217
O 0.987 0.250 0.573

Entry 2:
# LaVO4

An optimized crystal structure of LaVO4 (PBEsol, Alexandria via LeMat-Bulk).

Properties
raw formation energy	-3029	meV/atom
calculated total energy	-216.6	eV for the cell shown

Lattice parameters (Å, degrees): 6.663 7.241 8.322 90.00 125.59 90.00
Element x y z (fractional)
La 0.175 0.156 0.278
La 0.175 0.344 0.778
La 0.825 0.656 0.222
La 0.825 0.844 0.722
V 0.314 0.665 0.199
V 0.314 0.835 0.699
V 0.686 0.165 0.301
V 0.686 0.335 0.801
O 0.109 0.655 0.614
O 0.109 0.845 0.114
O 0.180 0.003 0.755
O 0.180 0.497 0.255
O 0.344 0.606 0.017
O 0.344 0.894 0.517
O 0.387 0.221 0.117
O 0.387 0.279 0.617
O 0.613 0.721 0.383
O 0.613 0.779 0.883
O 0.656 0.106 0.483
O 0.656 0.394 0.983
O 0.820 0.503 0.745
O 0.820 0.997 0.245
O 0.891 0.155 0.886
O 0.891 0.345 0.386

Entry 3:
# La2W3O12

An optimized crystal structure of La2W3O12 (PBEsol, Alexandria via LeMat-Bulk).

Properties
raw formation energy	-2622	meV/atom
calculated total energy	-319.4	eV for the cell shown

Lattice parameters (Å, degrees): 7.078 7.078 11.665 100.87 100.87 112.07
Element x y z (fractional)
La 0.055 0.307 0.095
La 0.307 0.055 0.595
La 0.693 0.945 0.405
La 0.945 0.693 0.905
W 0.117 0.883 0.250
W 0.201 0.493 0.455
W 0.493 0.201 0.955
W 0.507 0.799 0.045
W 0.799 0.507 0.545
W 0.883 0.117 0.750
O 0.013 0.603 0.219
O 0.027 0.948 0.112
O 0.052 0.973 0.388
O 0.096 0.672 0.571
O 0.197 0.352 0.308
O 0.230 0.628 0.038
O 0.328 0.904 0.929
O 0.329 0.402 0.561
O 0.352 0.197 0.808
O 0.372 0.770 0.462
O 0.397 0.987 0.281
O 0.402 0.329 0.061
O 0.598 0.671 0.939
O 0.603 0.013 0.719
O 0.628 0.230 0.538
O 0.648 0.803 0.192
O 0.671 0.598 0.439
O 0.672 0.096 0.071
O 0.770 0.372 0.962
O 0.803 0.648 0.692
O 0.904 0.328 0.429
O 0.948 0.027 0.612
O 0.973 0.052 0.888
O 0.987 0.397 0.781

Entry 4:
# La3WO

An optimized crystal structure of La3WO (PBEsol, Alexandria via LeMat-Bulk).

Properties
offset from the most stable computed form	0.000	eV/f.u.
raw formation energy	-684	meV/atom
calculated total energy	-38.5	eV for the cell shown

Lattice parameters (Å, degrees): 4.883 4.883 4.883 90.00 90.00 90.00
Element x y z (fractional)
La 0.000 0.000 0.500
La 0.000 0.500 0.000
La 0.500 0.000 0.000
W 0.500 0.500 0.500
O 0.000 0.000 0.000

Entry 5:
# La2ZnO2

An optimized crystal structure of La2ZnO2 (PBEsol, Alexandria via LeMat-Bulk).

Properties
raw formation energy	-2309	meV/atom
calculated total energy	-34.3	eV for the cell shown

Lattice parameters (Å, degrees): 6.940 6.940 6.940 145.66 145.66 49.35
Element x y z (fractional)
La 0.157 0.157 0.000
La 0.843 0.843 0.000
Zn 0.500 0.500 0.000
O 0.250 0.750 0.500
O 0.750 0.250 0.500

Entry 6:
# La2Zn2O5

An optimized crystal structure of La2Zn2O5 (PBEsol, Alexandria via LeMat-Bulk).

Properties
raw formation energy	-2501	meV/atom
calculated total energy	-250.4	eV for the cell shown

Lattice parameters (Å, degrees): 5.549 15.734 5.660 90.00 90.00 90.00
Element x y z (fractional)
La 0.036 0.114 0.011
La 0.036 0.386 0.011
La 0.464 0.614 0.511
La 0.464 0.886 0.511
La 0.536 0.114 0.489
La 0.536 0.386 0.489
La 0.964 0.614 0.989
La 0.964 0.886 0.989
Zn 0.000 0.000 0.500
Zn 0.000 0.500 0.500
Zn 0.047 0.250 0.551
Zn 0.453 0.750 0.051
Zn 0.500 0.000 0.000
Zn 0.500 0.500 0.000
Zn 0.547 0.250 0.949
Zn 0.953 0.750 0.449
O 0.037 0.641 0.585
O 0.037 0.859 0.585
O 0.100 0.750 0.123
O 0.208 0.519 0.207
O 0.208 0.981 0.207
O 0.292 0.019 0.707
O 0.292 0.481 0.707
O 0.400 0.250 0.623
O 0.463 0.141 0.085
O 0.463 0.359 0.085
O 0.537 0.641 0.915
O 0.537 0.859 0.915
O 0.600 0.750 0.377
O 0.708 0.519 0.293
O 0.708 0.981 0.293
O 0.792 0.019 0.793
O 0.792 0.481 0.793
O 0.900 0.250 0.877
O 0.963 0.141 0.415
O 0.963 0.359 0.415

Q: Which of these has the lowest raw formation energy?
A: LaVO4

What did the fifth record say?
# La2ZnO2

An optimized crystal structure of La2ZnO2 (PBEsol, Alexandria via LeMat-Bulk).

Properties
raw formation energy	-2309	meV/atom
calculated total energy	-34.3	eV for the cell shown

Lattice parameters (Å, degrees): 6.940 6.940 6.940 145.66 145.66 49.35
Element x y z (fractional)
La 0.157 0.157 0.000
La 0.843 0.843 0.000
Zn 0.500 0.500 0.000
O 0.250 0.750 0.500
O 0.750 0.250 0.500